A plane-wave DFT calculation with PBE with a Hubbard U was carried out for a relaxed structure of La3WCl2O6.

abc: 7.012 7.012 5.624
angles: 97.04 97.04 55.93
Fractional positions:
La  0.000  0.000  0.000
La  0.000  0.500  0.500
La  0.500  0.000  0.500
W  0.500  0.500  0.500
Cl  0.211  0.211  0.894
Cl  0.789  0.789  0.106
O  0.221  0.667  0.697
O  0.333  0.779  0.303
O  0.354  0.354  0.327
O  0.646  0.646  0.673
O  0.667  0.221  0.697
O  0.779  0.333  0.303

Total DFT energy (no corrections): -7.133 eV/atom
V: 227 Å³/cell
SG: C2/m